1.
Material: Ca12MgZn5
Method: DFT, PBE
State: optimized geometry

Summary:
As for the symmetry: No. 71. The total energy is -1.9194 eV per atom.

abc: 9.0914 9.0914 9.0914
angles: 111.81 111.28 105.39
With the nearest neighbours (Å) after each atom.
Atoms (fractional coordinates):
Ca (0.0402, 0.2368, 0.8034)  2 Zn 3.11-3.30
Ca (0.1823, 0.2749, 0.4572)  4 Zn 3.23-3.37
Ca (0.1823, 0.7251, 0.9074)  4 Zn 3.23-3.37
Ca (0.3249, 0.0263, 0.7014)  3 Zn 3.07-3.16
Ca (0.3249, 0.6235, 0.2986)  3 Zn 3.07-3.16
Ca (0.4334, 0.2368, 0.1966)  2 Zn 3.11-3.30
Ca (0.5666, 0.7632, 0.8034)  2 Zn 3.11-3.30
Ca (0.6751, 0.3765, 0.7014)  3 Zn 3.07-3.16
Ca (0.6751, 0.9737, 0.2986)  3 Zn 3.07-3.16
Ca (0.8177, 0.2749, 0.0926)  4 Zn 3.23-3.37
Ca (0.8177, 0.7251, 0.5428)  4 Zn 3.23-3.37
Ca (0.9598, 0.7632, 0.1966)  2 Zn 3.11-3.30
Mg (0.5000, 0.5000, 0.0000)  8 Ca 3.53-3.60
Zn (0.0000, 0.0000, 0.0000)  8 Ca 3.30-3.37
Zn (0.1172, 0.6172, 0.5000)  1 Zn 2.58
Zn (0.3615, 0.0000, 0.3615)  1 Zn 2.84, 6 Ca 3.11-3.16
Zn (0.6385, 0.0000, 0.6385)  1 Zn 2.84, 6 Ca 3.11-3.16
Zn (0.8828, 0.3828, 0.5000)  1 Zn 2.58

---

2.
Material: Ca3MgZn
Method: DFT, PBE
State: optimized geometry

Summary:
As for the symmetry: No. 221. The total energy is -1.8487 eV per atom.

abc: 7.7253 7.7253 7.7253
angles: 90.00 90.00 90.00
With the nearest neighbours (Å) after each atom.
Atoms (fractional coordinates):
Ca (0.0000, 0.0000, 0.0000)  8 Ca 3.59, 6 Mg 3.86
Ca (0.2683, 0.2683, 0.2683)  3 Zn 3.27, 3 Mg 3.43, 4 Ca 3.58-3.59
Ca (0.2683, 0.2683, 0.7317)  3 Zn 3.27, 3 Mg 3.43, 4 Ca 3.58-3.59
Ca (0.2683, 0.7317, 0.2683)  3 Zn 3.27, 3 Mg 3.43, 4 Ca 3.58-3.59
Ca (0.2683, 0.7317, 0.7317)  3 Zn 3.27, 3 Mg 3.43, 4 Ca 3.58-3.59
Ca (0.7317, 0.2683, 0.2683)  3 Zn 3.27, 3 Mg 3.43, 4 Ca 3.58-3.59
Ca (0.7317, 0.2683, 0.7317)  3 Zn 3.27, 3 Mg 3.43, 4 Ca 3.58-3.59
Ca (0.7317, 0.7317, 0.2683)  3 Zn 3.27, 3 Mg 3.43, 4 Ca 3.58-3.59
Ca (0.7317, 0.7317, 0.7317)  3 Zn 3.27, 3 Mg 3.43, 4 Ca 3.58-3.59
Mg (0.0000, 0.0000, 0.5000)  8 Ca 3.43
Mg (0.0000, 0.5000, 0.0000)  8 Ca 3.43
Mg (0.5000, 0.0000, 0.0000)  8 Ca 3.43
Zn (0.0000, 0.5000, 0.5000)  8 Ca 3.27
Zn (0.5000, 0.0000, 0.5000)  8 Ca 3.27
Zn (0.5000, 0.5000, 0.0000)  8 Ca 3.27

---

3.
Material: CaMgZn
Method: DFT, PBE
State: optimized geometry

Summary:
As for the symmetry: No. 38. The total energy is -1.7327 eV per atom.

abc: 4.4969 7.2274 7.2274
angles: 80.05 90.00 90.00
With the nearest neighbours (Å) after each atom.
Atoms (fractional coordinates):
Ca (0.0000, 0.0000, 0.0000)  6 Zn 3.20-3.27, 1 Mg 3.31
Ca (0.5000, 0.2536, 0.6509)  3 Zn 2.97-3.30
Ca (0.5000, 0.6509, 0.2536)  3 Zn 2.97-3.30
Mg (0.0000, 0.2991, 0.2991)  4 Zn 2.89, 2 Mg 3.22
Mg (0.0000, 0.5342, 0.8785)  4 Zn 2.88-2.93, 2 Mg 3.20-3.22
Mg (0.0000, 0.8785, 0.5342)  4 Zn 2.88-2.93, 2 Mg 3.20-3.22
Zn (0.5000, 0.0450, 0.3186)  1 Zn 2.54
Zn (0.5000, 0.3186, 0.0450)  1 Zn 2.54
Zn (0.5000, 0.7948, 0.7948)  4 Mg 2.93, 2 Ca 3.20

---

4.
Material: CaMgZn2
Method: DFT, PBE
State: optimized geometry

Summary:
As for the symmetry: No. 38. The total energy is -1.7079 eV per atom.

abc: 4.3160 5.8035 5.8035
angles: 38.35 90.00 90.00
With the nearest neighbours (Å) after each atom.
Atoms (fractional coordinates):
Ca (0.0000, 0.0000, 0.0000)  7 Zn 3.03-3.11
Mg (0.5000, 0.6982, 0.6982)  7 Zn 2.96-3.22
Zn (0.0000, 0.2763, 0.2763)  2 Zn 2.57
Zn (0.5000, 0.4043, 0.4043)  2 Zn 2.57

---

5.
Material: Ca7MgZn2
Method: DFT, PBE
State: optimized geometry

Summary:
As for the symmetry: No. 139. The total energy is -1.8506 eV per atom.

abc: 13.2593 13.2593 13.2593
angles: 157.41 157.41 32.16
With the nearest neighbours (Å) after each atom.
Atoms (fractional coordinates):
Ca (0.0000, 0.0000, 0.0000)  4 Mg 3.67, 8 Ca 3.74
Ca (0.1056, 0.6056, 0.5000)  2 Zn 3.13
Ca (0.2500, 0.7500, 0.5000)  4 Zn 3.23
Ca (0.3944, 0.8944, 0.5000)  2 Zn 3.13
Ca (0.6056, 0.1056, 0.5000)  2 Zn 3.13
Ca (0.7500, 0.2500, 0.5000)  4 Zn 3.23
Ca (0.8944, 0.3944, 0.5000)  2 Zn 3.13
Mg (0.5000, 0.5000, 0.0000)  12 Ca 3.67-3.74
Zn (0.1743, 0.1743, 0.0000)  8 Ca 3.13-3.23
Zn (0.8257, 0.8257, 0.0000)  8 Ca 3.13-3.23

---

6.
Material: Ca9MgZn2
Method: DFT, PBE
State: optimized geometry

Summary:
As for the symmetry: No. 12. The total energy is -1.7881 eV per atom.

abc: 6.1014 6.1014 12.3132
angles: 102.16 102.16 79.80
With the nearest neighbours (Å) after each atom.
Atoms (fractional coordinates):
Ca (0.0000, 0.0000, 0.0000)  8 Ca 3.42-3.81, 2 Zn 3.76
Ca (0.1404, 0.1404, 0.3544)  1 Mg 3.35, 1 Ca 3.70
Ca (0.1469, 0.5790, 0.1576)  3 Zn 3.09-3.46, 2 Ca 3.38-3.42
Ca (0.2791, 0.2791, 0.6659)  1 Zn 3.16, 1 Mg 3.28
Ca (0.4210, 0.8531, 0.8424)  3 Zn 3.09-3.46, 2 Ca 3.38-3.42
Ca (0.5790, 0.1469, 0.1576)  3 Zn 3.09-3.46, 2 Ca 3.38-3.42
Ca (0.7209, 0.7209, 0.3342)  1 Zn 3.16, 1 Mg 3.28
Ca (0.8531, 0.4210, 0.8424)  3 Zn 3.09-3.46, 2 Ca 3.38-3.42
Ca (0.8596, 0.8596, 0.6456)  1 Mg 3.35, 1 Ca 3.70
Mg (0.5000, 0.5000, 0.5000)  4 Ca 3.28-3.35
Zn (0.3684, 0.3684, 0.9326)  1 Zn 2.57
Zn (0.6316, 0.6316, 0.0674)  1 Zn 2.57

---

7.
Material: CaMg8Zn4
Method: DFT, PBE
State: optimized geometry

Summary:
As for the symmetry: No. 87. The total energy is -1.5374 eV per atom.

abc: 7.8795 7.8795 7.8795
angles: 95.86 95.86 142.73
With the nearest neighbours (Å) after each atom.
Atoms (fractional coordinates):
Ca (0.0000, 0.0000, 0.0000)  8 Zn 3.21
Mg (0.0658, 0.3743, 0.4401)  1 Zn 2.79, 5 Mg 2.87-3.05
Mg (0.1927, 0.7095, 0.9023)  2 Zn 2.84-2.93, 6 Mg 2.87-3.05
Mg (0.2905, 0.1927, 0.4832)  2 Zn 2.84-2.93, 6 Mg 2.87-3.05
Mg (0.3743, 0.9342, 0.3085)  1 Zn 2.79, 5 Mg 2.87-3.05
Mg (0.6257, 0.0658, 0.6915)  1 Zn 2.79, 5 Mg 2.87-3.05
Mg (0.7095, 0.8073, 0.5168)  2 Zn 2.84-2.93, 6 Mg 2.87-3.05
Mg (0.8073, 0.2905, 0.0977)  2 Zn 2.84-2.93, 6 Mg 2.87-3.05
Mg (0.9342, 0.6257, 0.5599)  1 Zn 2.79, 5 Mg 2.87-3.05
Zn (0.3156, 0.4605, 0.7761)  3 Mg 2.79-2.93, 2 Zn 2.82
Zn (0.4605, 0.6844, 0.1449)  3 Mg 2.79-2.93, 2 Zn 2.82
Zn (0.5395, 0.3156, 0.8551)  3 Mg 2.79-2.93, 2 Zn 2.82
Zn (0.6844, 0.5395, 0.2239)  3 Mg 2.79-2.93, 2 Zn 2.82

---

8.
Material: Ca4MgZn2
Method: DFT, PBE
State: optimized geometry

Summary:
As for the symmetry: No. 166. The total energy is -1.8484 eV per atom.

abc: 8.9712 8.9712 8.9712
angles: 34.61 34.61 34.61
With the nearest neighbours (Å) after each atom.
Atoms (fractional coordinates):
Ca (0.1166, 0.1166, 0.1166)  4 Zn 3.15-3.18, 3 Mg 3.33
Ca (0.3701, 0.3701, 0.3701)  4 Zn 3.23-3.37, 1 Mg 3.28, 3 Ca 3.60
Ca (0.6299, 0.6299, 0.6299)  4 Zn 3.23-3.37, 1 Mg 3.28, 3 Ca 3.60
Ca (0.8834, 0.8834, 0.8834)  4 Zn 3.15-3.18, 3 Mg 3.33
Mg (0.5000, 0.5000, 0.5000)  8 Ca 3.28-3.33, 6 Zn 3.63
Zn (0.2424, 0.2424, 0.2424)  8 Ca 3.15-3.37
Zn (0.7576, 0.7576, 0.7576)  8 Ca 3.15-3.37